Computed, not measured: RbZr3C after structural relaxation at the PBE-GGA level of DFT. Values from VASP.

```
&SYSTEM
  ibrav = 0, nat = 5, ntyp = 3
/
ATOMIC_SPECIES
Rb 85.47 Rb.upf
Zr 91.22 Zr.upf
C 12.01 C.upf
ATOMIC_POSITIONS crystal
Rb 0.0000 0.0000 0.0000
Zr 0.0000 0.0000 0.5000
Zr 0.0000 0.5000 0.0000
Zr 0.5000 0.0000 0.0000
C 0.5000 0.5000 0.5000
CELL_PARAMETERS angstrom
4.9814 0.0000 0.0000
0.0000 4.9814 0.0000
0.0000 0.0000 4.9814
```

## Properties
The value obtained for the uncorrected energy is -3.8518 eV/atom. For the excess energy over the best structure of this formula in the dataset, the calculation gives 2.654 eV per atom. Its energy of formation is 16.577 eV per formula unit.

***

Computed, not measured: RePdAu3 after structural relaxation at the PBE-GGA level of DFT. Values from VASP.

```
&SYSTEM
  ibrav = 0, nat = 5, ntyp = 3
/
ATOMIC_SPECIES
Re 186.21 Re.upf
Pd 106.42 Pd.upf
Au 196.97 Au.upf
ATOMIC_POSITIONS crystal
Re 0.0000 0.0000 0.0000
Pd 0.5000 0.5000 0.5000
Au 0.0000 0.0000 0.5000
Au 0.0000 0.5000 0.0000
Au 0.5000 0.0000 0.0000
CELL_PARAMETERS angstrom
4.9802 0.0000 0.0000
0.0000 4.9802 0.0000
0.0000 0.0000 4.9802
```

## Properties
The value obtained for the uncorrected energy is -4.0564 eV/atom. For the excess energy over the best structure of this formula in the dataset, the calculation gives 0.000 eV per atom. Its energy of formation is 7.191 eV per formula unit.

***

Computed, not measured: CaHf2Zr after structural relaxation at the PBE-GGA level of DFT. Values from VASP.

```
&SYSTEM
  ibrav = 0, nat = 8, ntyp = 3
/
ATOMIC_SPECIES
Ca 40.08 Ca.upf
Hf 178.49 Hf.upf
Zr 91.22 Zr.upf
ATOMIC_POSITIONS crystal
Ca 0.0000 0.0000 0.0000
Ca 0.7500 0.2500 0.5000
Hf 0.1434 0.6250 0.0184
Hf 0.3750 0.3934 0.5184
Hf 0.6066 0.1250 0.9816
Hf 0.8750 0.8566 0.4816
Zr 0.2500 0.7500 0.5000
Zr 0.5000 0.5000 0.0000
CELL_PARAMETERS angstrom
-2.2015 2.2015 10.6576
2.2015 -2.2015 10.6576
2.2015 2.2015 -10.6576
```

## Properties
The value obtained for the uncorrected energy is -6.8415 eV/atom. For the excess energy over the best structure of this formula in the dataset, the calculation gives 0.283 eV per atom. Its energy of formation is 3.091 eV per formula unit.

***

Computed, not measured: AgIr3 after structural relaxation at the PBE-GGA level of DFT. Values from VASP.

```
&SYSTEM
  ibrav = 0, nat = 4, ntyp = 2
/
ATOMIC_SPECIES
Ag 107.87 Ag.upf
Ir 192.22 Ir.upf
ATOMIC_POSITIONS crystal
Ag 0.0000 0.0000 0.0000
Ir 0.0000 0.0000 0.5000
Ir 0.3333 0.6667 0.2638
Ir 0.3333 0.6667 0.7362
CELL_PARAMETERS angstrom
2.7542 0.0000 0.0000
-1.3771 2.3852 0.0000
0.0000 0.0000 9.3110
```

## Properties
The value obtained for the uncorrected energy is -7.1420 eV/atom. Its energy of formation is 0.866 eV per formula unit.

***

Computed, not measured: Pm16Ho7Tm6 after structural relaxation at the PBE-GGA level of DFT. Values from VASP.

```
&SYSTEM
  ibrav = 0, nat = 29, ntyp = 3
/
ATOMIC_SPECIES
Pm 145.00 Pm.upf
Ho 164.93 Ho.upf
Tm 168.93 Tm.upf
ATOMIC_POSITIONS crystal
Pm 0.0535 0.6488 0.6488
Pm 0.1245 0.1245 0.1245
Pm 0.1245 0.1245 0.6264
Pm 0.1245 0.6264 0.1245
Pm 0.3512 0.3512 0.3512
Pm 0.3512 0.3512 0.9465
Pm 0.3512 0.9465 0.3512
Pm 0.3736 0.8755 0.8755
Pm 0.6264 0.1245 0.1245
Pm 0.6488 0.0535 0.6488
Pm 0.6488 0.6488 0.0535
Pm 0.6488 0.6488 0.6488
Pm 0.8755 0.3736 0.8755
Pm 0.8755 0.8755 0.3736
Pm 0.8755 0.8755 0.8755
Pm 0.9465 0.3512 0.3512
Ho 0.0000 0.0000 0.0000
Ho 0.0000 0.0000 0.5000
Ho 0.0000 0.5000 0.0000
Ho 0.0000 0.5000 0.5000
Ho 0.5000 0.0000 0.0000
Ho 0.5000 0.0000 0.5000
Ho 0.5000 0.5000 0.0000
Tm 0.2648 0.2648 0.7352
Tm 0.2648 0.7352 0.2648
Tm 0.2648 0.7352 0.7352
Tm 0.7352 0.2648 0.2648
Tm 0.7352 0.2648 0.7352
Tm 0.7352 0.7352 0.2648
CELL_PARAMETERS angstrom
0.0000 7.9379 7.9379
7.9379 0.0000 7.9379
7.9379 7.9379 0.0000
```

## Properties
The value obtained for the uncorrected energy is -4.4367 eV/atom. Its energy of formation is 6.220 eV per formula unit.

***

Computed, not measured: InCo2Mo after structural relaxation at the PBE-GGA level of DFT. Values from VASP.

```
&SYSTEM
  ibrav = 0, nat = 4, ntyp = 3
/
ATOMIC_SPECIES
In 114.82 In.upf
Co 58.93 Co.upf
Mo 95.94 Mo.upf
ATOMIC_POSITIONS crystal
In 0.0000 0.0000 0.0000
Co 0.5186 0.5186 0.0000
Co 0.7347 0.2347 0.5000
Mo 0.2849 0.7849 0.5000
CELL_PARAMETERS angstrom
-1.3880 2.2097 4.6477
1.3880 -2.2097 4.6477
1.3880 2.2097 -4.6477
```

## Properties
The value obtained for the uncorrected energy is -6.6512 eV/atom. Its energy of formation is 1.177 eV per formula unit.

***

Computed, not measured: La7Tb5 after structural relaxation at the PBE-GGA level of DFT. Values from VASP.

```
&SYSTEM
  ibrav = 0, nat = 12, ntyp = 2
/
ATOMIC_SPECIES
La 138.91 La.upf
Tb 158.93 Tb.upf
ATOMIC_POSITIONS crystal
La 0.0000 0.0000 0.0000
La 0.1840 0.1840 0.5828
La 0.2625 0.2625 0.8292
La 0.4600 0.4600 0.2868
La 0.5400 0.5400 0.7132
La 0.7375 0.7375 0.1708
La 0.8160 0.8160 0.4172
Tb 0.1212 0.1212 0.2995
Tb 0.3610 0.3610 0.0599
Tb 0.5000 0.5000 0.5000
Tb 0.6390 0.6390 0.9401
Tb 0.8788 0.8788 0.7005
CELL_PARAMETERS angstrom
4.9352 -2.9601 0.0000
4.9352 2.9601 0.0000
-3.6067 0.0000 14.5432
```

## Properties
The value obtained for the uncorrected energy is -4.6618 eV/atom. For the excess energy over the best structure of this formula in the dataset, the calculation gives 0.125 eV per atom. Its energy of formation is 1.702 eV per formula unit.

***

Computed, not measured: ReBi3As after structural relaxation at the PBE-GGA level of DFT. Values from VASP.

```
&SYSTEM
  ibrav = 0, nat = 5, ntyp = 3
/
ATOMIC_SPECIES
Re 186.21 Re.upf
Bi 208.98 Bi.upf
As 74.92 As.upf
ATOMIC_POSITIONS crystal
Re 0.0000 0.0000 0.0000
Bi 0.0000 0.0000 0.5000
Bi 0.0000 0.5000 0.0000
Bi 0.5000 0.0000 0.0000
As 0.5000 0.5000 0.5000
CELL_PARAMETERS angstrom
5.2932 0.0000 0.0000
0.0000 5.2932 0.0000
0.0000 0.0000 5.2932
```

## Properties
The value obtained for the uncorrected energy is -4.9163 eV/atom. For the excess energy over the best structure of this formula in the dataset, the calculation gives 0.000 eV per atom. Its energy of formation is 4.159 eV per formula unit.

***

Computed, not measured: Ca2La2Mg after structural relaxation at the PBE-GGA level of DFT. Values from VASP.

```
&SYSTEM
  ibrav = 0, nat = 5, ntyp = 3
/
ATOMIC_SPECIES
Ca 40.08 Ca.upf
La 138.91 La.upf
Mg 24.30 Mg.upf
ATOMIC_POSITIONS crystal
Ca 0.2500 0.7500 0.5000
Ca 0.7500 0.2500 0.5000
La 0.0845 0.0845 0.0000
La 0.9155 0.9155 0.0000
Mg 0.5000 0.5000 0.0000
CELL_PARAMETERS angstrom
-2.2504 2.2504 9.5024
2.2504 -2.2504 9.5024
2.2504 2.2504 -9.5024
```

## Properties
The value obtained for the uncorrected energy is -2.7805 eV/atom. For the excess energy over the best structure of this formula in the dataset, the calculation gives 0.100 eV per atom. Its energy of formation is 1.550 eV per formula unit.

***

Computed, not measured: Ac4PtPb after structural relaxation at the PBE-GGA level of DFT. Values from VASP.

```
&SYSTEM
  ibrav = 0, nat = 6, ntyp = 3
/
ATOMIC_SPECIES
Ac 227.00 Ac.upf
Pt 195.08 Pt.upf
Pb 207.20 Pb.upf
ATOMIC_POSITIONS crystal
Ac 0.0005 0.5002 0.7736
Ac 0.5002 0.0005 0.7736
Ac 0.4998 0.9995 0.2264
Ac 0.9995 0.4998 0.2264
Pt 0.0000 0.0000 0.0000
Pb 0.5000 0.5000 0.5000
CELL_PARAMETERS angstrom
3.8178 -3.8178 0.0000
3.8178 3.8178 0.0000
-0.0137 0.0000 8.0693
```

## Properties
The value obtained for the uncorrected energy is -4.7984 eV/atom. Its energy of formation is -2.608 eV per formula unit.